This record from Alexandria via LeMat-Bulk describes BaLiCo2F8 after structural relaxation. The functional is PBE+U.

Properties
- space group = P-1
- volume (Å³ per atom) = 14.75
- calculated total energy (eV per cell) = -59.63
- DOS at the Fermi energy (states/eV/cell) = 5.869

a = 5.1649 Å, b = 5.1706 Å, c = 6.6534 Å
α = 89.93°, β = 89.93°, γ = 85.04°
Atoms (fractional coordinates):
Ba (0.0000, 0.0000, 0.0000)
Li (0.0000, 0.0000, 0.5000)
Co (0.4999, 0.4999, 0.2701)
Co (0.5001, 0.5001, 0.7299)
F (0.2314, 0.7772, 0.2909)
F (0.2309, 0.7768, 0.7091)
F (0.3209, 0.3276, 0.5003)
F (0.3370, 0.3471, 0.0005)
F (0.6630, 0.6529, 0.9995)
F (0.6791, 0.6724, 0.4997)
F (0.7691, 0.2232, 0.2909)
F (0.7687, 0.2228, 0.7091)